# NdHf2ScN4

NdHf2ScN4 after structural relaxation (PBE, the Alexandria database).

Cell and atoms, written as POSCAR:
```
NdHf2ScN4
1.0
-3.2927 3.3412 4.6931
3.2927 -3.3412 4.6931
3.2927 3.3412 -4.6931
Nd Hf Sc N
2 4 2 8
Direct
0.5000 0.0000 0.0000 Nd
0.5000 0.5000 0.5000 Nd
0.0000 0.0000 0.0000 Hf
0.0000 0.0000 0.5000 Hf
0.0000 0.5000 0.0000 Hf
0.5000 0.0000 0.5000 Hf
0.0000 0.5000 0.5000 Sc
0.5000 0.5000 0.0000 Sc
0.2193 0.2456 0.9737 N
0.2281 0.7544 0.4737 N
0.2374 0.2305 0.4931 N
0.2374 0.7442 0.0069 N
0.7626 0.2558 0.9931 N
0.7626 0.7695 0.5069 N
0.7719 0.2456 0.5263 N
0.7807 0.7544 0.0263 N
```

Values from the calculation:
As for the formation energy (no corrections): -1.69 eV/atom.

# BaScCo2

BaScCo2 after structural relaxation (PBE, the Alexandria database).

Cell and atoms, written as POSCAR:
```
BaScCo2
1.0
0.0000 3.4387 3.4387
3.4387 0.0000 3.4387
3.4387 3.4387 0.0000
Ba Sc Co
1 1 2
Direct
0.0000 0.0000 0.0000 Ba
0.5000 0.5000 0.5000 Sc
0.2500 0.2500 0.2500 Co
0.7500 0.7500 0.7500 Co
```

Values from the calculation:
The formation energy is 527 meV per atom. Its distance to the lowest polymorph of the same formula is 445 meV per atom.

# BeSiCl2

BeSiCl2 after structural relaxation (PBE, the Alexandria database).

Cell and atoms, written as POSCAR:
```
BeSiCl2
1.0
3.0240 -3.6683 0.0000
3.0240 3.6683 0.0000
0.0000 0.0000 3.3350
Be Si Cl
1 1 2
Direct
0.0000 0.0000 0.0000 Be
0.5000 0.5000 0.0000 Si
0.0000 0.5000 0.5000 Cl
0.5000 0.0000 0.5000 Cl
```

Values from the calculation:
As for the formation energy (no corrections): 0.64 eV/atom. Its distance to the lowest polymorph of the same formula is 1011 meV per atom.

# LiDy2Te4Pb

LiDy2Te4Pb after structural relaxation (PBE, the Alexandria database).

Cell and atoms, written as POSCAR:
```
LiDy2Te4Pb
1.0
7.5759 0.0000 0.0000
0.0000 4.3839 0.0000
-2.4998 0.0000 7.4484
Li Dy Te Pb
1 2 4 1
Direct
0.0000 0.0000 0.0000 Li
0.0000 0.5000 0.5000 Dy
0.5000 0.0000 0.5000 Dy
0.2379 0.0000 0.7429 Te
0.2454 0.5000 0.2553 Te
0.7546 0.5000 0.7447 Te
0.7621 0.0000 0.2571 Te
0.5000 0.5000 0.0000 Pb
```

Values from the calculation:
As for the formation energy (no corrections): -1.02 eV/atom.

# LuMgAgPt

LuMgAgPt after structural relaxation (PBE, the Alexandria database).

Cell and atoms, written as POSCAR:
```
LuMgAgPt
1.0
0.0000 3.3739 3.3739
3.3739 0.0000 3.3739
3.3739 3.3739 0.0000
Lu Mg Ag Pt
1 1 1 1
Direct
0.0000 0.0000 0.0000 Lu
0.5000 0.5000 0.5000 Mg
0.7500 0.7500 0.7500 Ag
0.2500 0.2500 0.2500 Pt
```

Values from the calculation:
The formation energy is -721 meV per atom.

# Na2LiTc

Na2LiTc after structural relaxation (PBE, the Alexandria database).

Cell and atoms, written as POSCAR:
```
Na2LiTc
1.0
-3.9724 3.9724 2.8838
3.9724 -3.9724 2.8838
3.9724 3.9724 -2.8838
Na Li Tc
4 2 2
Direct
0.1039 0.6250 0.9789 Na
0.3750 0.3539 0.4789 Na
0.6461 0.1250 0.0211 Na
0.8750 0.8961 0.5211 Na
0.0000 0.0000 0.0000 Li
0.7500 0.2500 0.5000 Li
0.2500 0.7500 0.5000 Tc
0.5000 0.5000 0.0000 Tc
```

Values from the calculation:
The formation energy is 1061 meV per atom. Its distance to the lowest polymorph of the same formula is 91 meV per atom.

# ThScTc2

ThScTc2 after structural relaxation (PBE, the Alexandria database).

Cell and atoms, written as POSCAR:
```
ThScTc2
1.0
0.0000 3.3783 3.3783
3.3783 0.0000 3.3783
3.3783 3.3783 0.0000
Th Sc Tc
1 1 2
Direct
0.0000 0.0000 0.0000 Th
0.5000 0.5000 0.5000 Sc
0.2500 0.2500 0.2500 Tc
0.7500 0.7500 0.7500 Tc
```

Values from the calculation:
The formation energy is -190 meV per atom. Its distance to the lowest polymorph of the same formula is 0 meV per atom.

# CaLaRu

CaLaRu after structural relaxation (PBE, the Alexandria database).

Cell and atoms, written as POSCAR:
```
CaLaRu
1.0
0.0000 2.6397 6.9612
2.3330 0.0000 6.9612
2.3330 2.6397 0.0000
Ca La Ru
1 1 1
Direct
0.0000 0.0000 0.0000 Ca
0.2453 0.2453 0.7547 La
0.6333 0.6333 0.3667 Ru
```

Values from the calculation:
The formation energy is -57 meV per atom. Its distance to the lowest polymorph of the same formula is 5 meV per atom.

| no. | DFT total energy (Ry/atom) |
| --- | --- |
| 1 | -0.715 |
| 2 | -0.374 |
| 3 | -0.189 |
| 4 | -0.327 |
| 5 | -0.329 |
| 6 | -0.196 |
| 7 | -0.648 |
| 8 | -0.401 |